Record 1
Compound: LiHoSn2
Source: the Alexandria database
Functional: PBE
Structure: optimized geometry

Cell lengths 9.8791, 9.8791, 4.4824 Å; angles 90.00, 90.00, 154.77 degrees
Element x y z (fractional)
Sn1 0.2522 0.7478 0.7500
Sn2 0.5446 0.4554 0.7500
Ho1 0.1045 0.8955 0.2500
Li1 0.6720 0.3280 0.7500
Li2 0.3280 0.6720 0.2500
Sn3 0.4554 0.5446 0.2500
Sn4 0.7478 0.2522 0.2500
Ho2 0.8955 0.1045 0.7500

Summary:
DFT formation energy, eV/atom: -0.419
Density of states at the Fermi level, states/eV/f.u.: 1.19
Symmetry: No. 63
DFT total energy, eV per atom: -4.04
Energy above the most stable polymorph in this dataset, meV per atom: 129.5

---

Record 2
Compound: BRhS2
Source: the Alexandria database
Functional: PBE
Structure: optimized geometry

Cell lengths 4.1946, 4.1946, 4.1946 Å; angles 60.00, 60.00, 60.00 degrees
Element x y z (fractional)
Rh1 0.5000 0.5000 0.5000
B1 0.0000 0.0000 0.0000
S1 0.7500 0.7500 0.7500
S2 0.2500 0.2500 0.2500

Summary:
Density of states at the Fermi level, states/eV/f.u.: 3.72
Formation energy from raw total energies, eV per atom: 0.9951
Symmetry: No. 225
DFT total energy, eV per atom: -4.58
Energy above the most stable polymorph in this dataset, meV per atom: 1130.2

---

Record 3
Compound: CsSeBr3
Source: the Alexandria database
Functional: PBE
Structure: optimized geometry

Cell lengths 7.7786, 7.7786, 7.7786 Å; angles 76.08, 76.08, 76.08 degrees
Element x y z (fractional)
Se1 0.2500 0.2500 0.2500
Br1 0.5144 0.2500 0.9856
Se2 0.7500 0.7500 0.7500
Br2 0.2500 0.9856 0.5144
Br3 0.4856 0.7500 0.0144
Br4 0.0144 0.4856 0.7500
Br5 0.9856 0.5144 0.2500
Cs1 0.5000 0.5000 0.5000
Cs2 0.0000 0.0000 0.0000
Br6 0.7500 0.0144 0.4856

Summary:
Density of states at the Fermi level, states/eV/f.u.: 0.00
Formation energy from raw total energies, eV per atom: -0.7109
Symmetry: No. 167
DFT total energy, eV per atom: -2.58

---

Record 4
Compound: TlAsSe2
Source: the Alexandria database
Functional: PBE
Structure: optimized geometry

Cell lengths 3.9629, 3.9629, 8.1317 Å; angles 75.90, 75.90, 60.00 degrees
Element x y z (fractional)
As1 0.6670 0.6670 0.9991
Se1 0.2714 0.2714 0.1859
Tl1 0.4945 0.4945 0.5166
Se2 0.0672 0.0672 0.7984

Summary:
Formation energy from raw total energies, eV per atom: -0.2257
Symmetry: No. 160
DFT total energy, eV per atom: -3.72